This record from Alexandria describes an optimized crystal structure of Tb4PmSmSe8. The functional is PBE.

a b c (Å): 8.4922 8.4922 8.5267
angles (deg): 60.13 60.13 60.00
Fractional positions:
1 Tb 0.6258 0.6258 0.1227
2 Tb 0.9996 0.5014 0.4994
3 Tb 0.5014 0.9996 0.4994
4 Tb 0.9996 0.9996 0.4994
5 Pm 0.9996 0.9996 0.0011
6 Sm 0.3740 0.3740 0.8781
7 Se 0.2453 0.7748 0.7347
8 Se 0.7748 0.2453 0.7347
9 Se 0.2453 0.2453 0.7347
10 Se 0.2400 0.2400 0.2799
11 Se 0.7530 0.2308 0.2632
12 Se 0.2308 0.7530 0.2632
13 Se 0.7530 0.7530 0.2632
14 Se 0.7579 0.7579 0.7263

- total magnetic moment (μB/atom) = 0.0000
- ΔE_f (raw) (kJ/mol of formula units) = -2330
- electronic total energy (eV per cell) = -80.015
- symmetry = R3m